Entry 1:
{
  "formula": "GeBiAu2",
  "functional": "GGA-PBE",
  "state": "optimized geometry",
  "e_above_lowest_polymorph_ev_per_atom": 0.0638,
  "ef_mev_per_atom": 55,
  "magmom_total_mub_per_atom": 0.000,
  "cell": [[-2.7395, 2.1170, 2.3762], [-0.6909, -1.1844, 3.9689], [3.3460, 4.0056, 3.9992]],
  "species": ["Ge", "Bi", "Au", "Au"],
  "frac_coords": [[0.6693, 0.6693, 0.9920], [0.4972, 0.4972, 0.5085], [0.0670, 0.0670, 0.7990], [0.2665, 0.2665, 0.2005]]
}

=====

Entry 2:
{
  "formula": "La2ScSe",
  "functional": "GGA-PBE",
  "state": "optimized geometry",
  "magmom_total_mub_per_atom": 0.000,
  "energy_ev_per_atom": -5.637,
  "cell": [[3.6153, 0.0000, 0.0000], [0.0000, 3.6153, 0.0000], [0.0000, 0.0000, 8.4405]],
  "species": ["La", "La", "Sc", "Se"],
  "frac_coords": [[0.0000, 0.0000, 0.9594], [0.5000, 0.5000, 0.2872], [0.0000, 0.0000, 0.5552], [0.5000, 0.5000, 0.6981]]
}

=====

Entry 3:
{
  "formula": "BeC2O6",
  "functional": "GGA-PBE",
  "state": "optimized geometry",
  "magmom_total_mub_per_atom": 0.223,
  "energy_ev_per_atom": -6.915,
  "cell": [[5.4985, 0.0101, -0.0001], [0.0057, 4.1285, -2.3830], [-0.0001, 0.0000, 4.7661]],
  "species": ["Be", "C", "C", "O", "O", "O", "O", "O", "O"],
  "frac_coords": [[0.9999, 0.9975, 0.9987], [0.8072, 0.3343, 0.6672], [0.1928, 0.6663, 0.3332], [0.8019, 0.6436, 0.8218], [0.8017, 0.1797, 0.3579], [0.1982, 0.8209, 0.1784], [0.8017, 0.1797, 0.8218], [0.1982, 0.8209, 0.6425], [0.1984, 0.3571, 0.1786]]
}

=====

Entry 4:
{
  "formula": "NiPt2Se",
  "functional": "GGA-PBE",
  "state": "optimized geometry",
  "magmom_total_mub_per_atom": 0.000,
  "energy_ev_per_atom": -5.117,
  "cell": [[-4.0729, 1.3269, -1.1205], [-2.7777, -2.8174, -1.9878], [-3.5174, -1.5580, 2.1921]],
  "species": ["Ni", "Pt", "Pt", "Se"],
  "frac_coords": [[0.5000, 0.5000, 0.5000], [0.0000, 0.0000, 0.0000], [0.7500, 0.7500, 0.7500], [0.2500, 0.2500, 0.2500]]
}

=====

Entry 5:
{
  "formula": "NdTlB2O6",
  "functional": "GGA-PBE",
  "state": "optimized geometry",
  "magmom_total_mub_per_atom": 0.000,
  "energy_ev_per_atom": -7.290,
  "cell": [[-4.8295, -3.4343, 2.5815], [-0.2131, -2.6722, -5.8818], [5.1989, -2.9234, 2.5726]],
  "species": ["Nd", "Nd", "Tl", "Tl", "B", "B", "B", "B", "O", "O", "O", "O", "O", "O", "O", "O", "O", "O", "O", "O"],
  "frac_coords": [[0.6162, 0.3838, 0.2500], [0.3838, 0.6162, 0.7500], [0.0815, 0.9185, 0.2500], [0.9185, 0.0815, 0.7500], [0.4205, 0.0967, 0.7475], [0.9033, 0.5795, 0.7525], [0.5795, 0.9033, 0.2525], [0.0967, 0.4205, 0.2475], [0.9657, 0.5764, 0.2511], [0.4236, 0.0343, 0.2489], [0.0343, 0.4236, 0.7489], [0.5764, 0.9657, 0.7511], [0.9914, 0.2160, 0.1272], [0.7840, 0.0086, 0.3728], [0.0086, 0.7840, 0.8728], [0.2160, 0.9914, 0.6272], [0.3004, 0.4588, 0.3695], [0.5412, 0.6996, 0.1305], [0.6996, 0.5412, 0.6305], [0.4588, 0.3004, 0.8695]]
}

=====

Entry 6:
{
  "formula": "Ca2BeTl",
  "functional": "GGA-PBE",
  "state": "optimized geometry",
  "e_above_lowest_polymorph_ev_per_atom": 0.2542,
  "ef_mev_per_atom": 246,
  "magmom_total_mub_per_atom": 0.000,
  "cell": [[5.2015, 0.0000, 0.0000], [2.6007, 4.5046, 0.0000], [2.6007, 1.5015, 4.2470]],
  "species": ["Be", "Tl", "Ca", "Ca"],
  "frac_coords": [[0.5000, 0.5000, 0.5000], [0.7500, 0.7500, 0.7500], [0.0000, 0.0000, 0.0000], [0.2500, 0.2500, 0.2500]]
}

=====

Entry 7:
{
  "formula": "Gd2HfO",
  "functional": "GGA-PBE",
  "state": "optimized geometry",
  "magmom_total_mub_per_atom": 3.589,
  "energy_ev_per_atom": -11.735,
  "cell": [[-0.0888, 2.7168, -1.9511], [1.4935, -0.0408, -2.9939], [-7.3073, -2.1181, -5.4860]],
  "species": ["Gd", "Gd", "Hf", "O"],
  "frac_coords": [[0.1145, 0.1145, 0.6566], [0.8855, 0.8855, 0.3434], [0.0000, 0.0000, 0.0000], [0.5000, 0.5000, 0.5000]]
}

=====

Entry 8:
{
  "formula": "Be3NiN",
  "functional": "GGA-PBE",
  "state": "optimized geometry",
  "e_above_lowest_polymorph_ev_per_atom": 0.0000,
  "magmom_total_mub_per_atom": 0.000,
  "cell": [[3.4564, 0.0000, 0.0000], [0.0000, 3.4564, 0.0000], [0.0000, 0.0000, 3.4564]],
  "species": ["Ni", "Be", "Be", "Be", "N"],
  "frac_coords": [[0.5000, 0.5000, 0.5000], [0.0000, 0.5000, 0.0000], [0.0000, 0.0000, 0.5000], [0.5000, 0.0000, 0.0000], [0.0000, 0.0000, 0.0000]]
}